Density functional theory data (GGA-PBE) for a relaxed structure of UTiCoTc.

Results
ΔE_f	-0.1242	eV/atom
space-group type	F-43m, No. 216

abc: 4.512 4.512 4.512
angles: 60.00 60.00 60.00
Atoms (fractional coordinates):
1 U 0.000 0.000 0.000
2 Ti 0.500 0.500 0.500
3 Co 0.750 0.750 0.750
4 Tc 0.250 0.250 0.250

=====

Density functional theory data (GGA-PBE) for a relaxed structure of TiVCoTc.

Results
ΔE_f	-0.3426	eV/atom
space-group type	F-43m, No. 216

abc: 4.243 4.243 4.243
angles: 60.00 60.00 60.00
Atoms (fractional coordinates):
1 Ti 0.000 0.000 0.000
2 V 0.500 0.500 0.500
3 Co 0.250 0.250 0.250
4 Tc 0.750 0.750 0.750

=====

Density functional theory data (GGA-PBE) for a relaxed structure of TiCoTcW.

Results
ΔE_f	-0.1993	eV/atom
space-group type	F-43m, No. 216

abc: 4.336 4.336 4.336
angles: 60.00 60.00 60.00
Atoms (fractional coordinates):
1 Ti 0.000 0.000 0.000
2 Co 0.750 0.750 0.750
3 Tc 0.250 0.250 0.250
4 W 0.500 0.500 0.500

=====

Density functional theory data (GGA-PBE) for a relaxed structure of Ti5Zn2Co2Tc.

Results
ΔE_f	-0.1862	eV/atom
space-group type	P4/mbm, No. 127

abc: 10.057 10.057 3.063
angles: 90.00 90.00 90.00
Atoms (fractional coordinates):
1 Ti 0.000 0.500 0.000
2 Ti 0.072 0.198 0.000
3 Ti 0.198 0.928 0.000
4 Ti 0.302 0.428 0.000
5 Ti 0.428 0.698 0.000
6 Ti 0.500 0.000 0.000
7 Ti 0.572 0.302 0.000
8 Ti 0.698 0.572 0.000
9 Ti 0.802 0.072 0.000
10 Ti 0.928 0.802 0.000
11 Zn 0.173 0.673 0.500
12 Zn 0.327 0.173 0.500
13 Zn 0.673 0.827 0.500
14 Zn 0.827 0.327 0.500
15 Co 0.130 0.370 0.500
16 Co 0.370 0.870 0.500
17 Co 0.630 0.130 0.500
18 Co 0.870 0.630 0.500
19 Tc 0.000 0.000 0.500
20 Tc 0.500 0.500 0.500